The following is a PBE-GGA calculation of Ba3SmGa2O8 after structural relaxation, from Alexandria.

extended XYZ file:
```
14
Lattice="-5.264 1.426 -2.684 0.445 -5.078 3.311 -2.138 3.896 6.262" Properties=species:S:1:pos:R:3 pbc="T T T"
Ba -4.098 0.601 1.474
Ba 0.000 0.000 0.000
Ba -2.858 -0.358 5.415
O -5.536 0.512 4.246
O -1.204 -2.740 4.255
O -3.550 0.903 7.442
O -3.190 2.290 3.941
O -3.766 -2.046 2.948
O -3.406 -0.659 -0.553
O -5.753 2.984 2.634
O -1.420 -0.269 2.643
Sm -1.069 1.948 3.131
Ga -1.919 -2.070 2.664
Ga -5.037 2.313 4.225
```

Calculated values
- DOS at the Fermi energy: 1.02 states/eV per atom
- VASP energy: -0.236 Ha/atom